Material: Pm3Pr2Pd2
Method: DFT, PBE
State: relaxed

Calculated values
* formation energy: -0.46 eV per atom

Unit cell a=6.6459 b=6.6459 c=9.3068 alpha=115.03 beta=115.03 gamma=33.75
Sites, in units of the cell vectors:
1 Pm 0.0000 0.0000 0.0000
2 Pm 0.1156 0.1156 0.4414
3 Pm 0.8844 0.8844 0.5586
4 Pr 0.3437 0.3437 0.1887
5 Pr 0.6563 0.6563 0.8113
6 Pd 0.3363 0.3363 0.7655
7 Pd 0.6637 0.6637 0.2345

---

Material: Pu6FeRu2
Method: DFT, PBE
State: relaxed

Calculated values
* formation energy: 0.15 eV per atom

Unit cell a=7.5994 b=7.5994 c=2.8466 alpha=90.00 beta=90.00 gamma=120.00
Sites, in units of the cell vectors:
1 Pu 0.0000 0.3211 0.0888
2 Pu 0.0000 0.6789 0.9112
3 Pu 0.3211 0.0000 0.0888
4 Pu 0.3211 0.3211 0.9112
5 Pu 0.6789 0.0000 0.9112
6 Pu 0.6789 0.6789 0.0888
7 Fe 0.0000 0.0000 0.5000
8 Ru 0.3333 0.6667 0.5000
9 Ru 0.6667 0.3333 0.5000

---

Material: Co2NiW
Method: DFT, PBE
State: relaxed

Calculated values
* formation energy: 0.07 eV per atom

Unit cell a=4.0656 b=4.0656 c=4.0656 alpha=60.00 beta=60.00 gamma=60.00
Sites, in units of the cell vectors:
1 Co 0.2500 0.2500 0.2500
2 Co 0.7500 0.7500 0.7500
3 Ni 0.0000 0.0000 0.0000
4 W 0.5000 0.5000 0.5000

---

Material: TlCo4As
Method: DFT, PBE
State: relaxed

Calculated values
* formation energy: 0.42 eV per atom

Unit cell a=4.9485 b=4.9485 c=4.9485 alpha=60.00 beta=60.00 gamma=60.00
Sites, in units of the cell vectors:
1 Tl 0.0000 0.0000 0.0000
2 Co 0.3756 0.3756 0.3756
3 Co 0.3756 0.3756 0.8732
4 Co 0.3756 0.8732 0.3756
5 Co 0.8732 0.3756 0.3756
6 As 0.7500 0.7500 0.7500

---

Material: CsGe2Au
Method: DFT, PBE
State: relaxed

Calculated values
* formation energy: -0.15 eV per atom

Unit cell a=7.5787 b=7.5787 c=7.5787 alpha=33.56 beta=33.56 gamma=33.56
Sites, in units of the cell vectors:
1 Cs 0.0000 0.0000 0.0000
2 Ge 0.2070 0.2070 0.2070
3 Ge 0.7930 0.7930 0.7930
4 Au 0.5000 0.5000 0.5000

---

Material: SrLu2Ga
Method: DFT, PBE
State: relaxed

Calculated values
* formation energy: -0.17 eV per atom

Unit cell a=3.5601 b=3.5601 c=9.4712 alpha=90.00 beta=90.00 gamma=90.00
Sites, in units of the cell vectors:
1 Sr 0.0000 0.0000 0.0000
2 Lu 0.5000 0.5000 0.3189
3 Lu 0.5000 0.5000 0.6811
4 Ga 0.0000 0.0000 0.5000

---

Material: TmScFeCu
Method: DFT, PBE
State: relaxed

Calculated values
* formation energy: -0.10 eV per atom

Unit cell a=4.6138 b=4.6138 c=4.6138 alpha=60.00 beta=60.00 gamma=60.00
Sites, in units of the cell vectors:
1 Tm 0.0000 0.0000 0.0000
2 Sc 0.5000 0.5000 0.5000
3 Fe 0.2500 0.2500 0.2500
4 Cu 0.7500 0.7500 0.7500

---

Material: UAl3Pt2
Method: DFT, PBE
State: relaxed

Calculated values
* formation energy: -0.75 eV per atom

Unit cell a=8.5116 b=8.5116 c=9.9651 alpha=107.70 beta=107.70 gamma=28.45
Sites, in units of the cell vectors:
1 U 0.0000 0.0000 0.0000
2 U 0.1576 0.1576 0.7063
3 U 0.8424 0.8424 0.2937
4 Al 0.0405 0.0405 0.3581
5 Al 0.2130 0.2130 0.3908
6 Al 0.3255 0.3255 0.0366
7 Al 0.3694 0.3694 0.7997
8 Al 0.5000 0.5000 0.5000
9 Al 0.6306 0.6306 0.2003
10 Al 0.6745 0.6745 0.9634
11 Al 0.7870 0.7870 0.6092
12 Al 0.9595 0.9595 0.6419
13 Pt 0.1958 0.1958 0.1261
14 Pt 0.3605 0.3605 0.5450
15 Pt 0.4762 0.4762 0.2132
16 Pt 0.5238 0.5238 0.7868
17 Pt 0.6395 0.6395 0.4550
18 Pt 0.8042 0.8042 0.8739

---

Material: NbRuRh
Method: DFT, PBE
State: relaxed

Calculated values
* formation energy: -0.28 eV per atom

Unit cell a=4.4273 b=4.4273 c=5.4709 alpha=90.00 beta=90.00 gamma=120.00
Sites, in units of the cell vectors:
1 Nb 0.3333 0.6667 0.2500
2 Nb 0.6667 0.3333 0.7500
3 Ru 0.3333 0.6667 0.7500
4 Ru 0.6667 0.3333 0.2500
5 Rh 0.0000 0.0000 0.0000
6 Rh 0.0000 0.0000 0.5000

---

Material: Ba3CeAl2O9
Method: DFT, PBE
State: relaxed

Calculated values
* uncorrected formation energy: -2.696 eV/atom

Unit cell a=5.8132 b=5.8132 c=7.1724 alpha=90.00 beta=90.00 gamma=120.00
Sites, in units of the cell vectors:
1 Ba 0.0000 0.0000 0.0000
2 Ba 0.3333 0.6667 0.6790
3 Ba 0.6667 0.3333 0.3210
4 Ce 0.0000 0.0000 0.5000
5 Al 0.3333 0.6667 0.1579
6 Al 0.6667 0.3333 0.8421
7 O 0.0000 0.5000 0.0000
8 O 0.1781 0.3561 0.3135
9 O 0.1781 0.8219 0.3135
10 O 0.3561 0.1781 0.6865
11 O 0.5000 0.0000 0.0000
12 O 0.5000 0.5000 0.0000
13 O 0.6439 0.8219 0.3135
14 O 0.8219 0.1781 0.6865
15 O 0.8219 0.6439 0.6865

---

Material: La2TmRh
Method: DFT, PBE
State: relaxed

Calculated values
* formation energy: -0.27 eV per atom

Unit cell a=3.6919 b=3.6919 c=8.4710 alpha=90.00 beta=90.00 gamma=90.00
Sites, in units of the cell vectors:
1 La 0.0000 0.0000 0.1966
2 La 0.0000 0.0000 0.8034
3 Tm 0.5000 0.5000 0.5000
4 Rh 0.5000 0.5000 0.0000

---

Material: DyInCo
Method: DFT, PBE
State: relaxed

Calculated values
* formation energy: -0.14 eV per atom

Unit cell a=4.5398 b=4.5398 c=4.5398 alpha=60.00 beta=60.00 gamma=60.00
Sites, in units of the cell vectors:
1 Dy 0.0000 0.0000 0.0000
2 In 0.5000 0.5000 0.5000
3 Co 0.2500 0.2500 0.2500